YMo3: optimized geometry, PBE.

Results
Magnetic moment: 0.00 μB per cell
Energy of formation: 0.79 eV/atom

Cell lengths 4.2147, 4.2147, 4.2147 Å; angles 90.00, 90.00, 90.00 degrees
Space group Pm-3m (No. 221)
Asymmetric unit:
Y 0.0000 0.0000 0.0000 [1 per cell]
Mo 0.0000 0.5000 0.5000 [3 per cell]